## Rb4Mn3GaF12 (PBE+U)

Data for an optimized crystal structure of Rb4Mn3GaF12.

Values from the calculation:
Calculated total energy in eV/atom: -5.2451
Space group: Im-3m, No. 229

CIF file:
```
data_Rb4Mn3GaF12
_cell_length_a 7.483
_cell_length_b 7.483
_cell_length_c 7.483
_cell_angle_alpha 109.47
_cell_angle_beta 109.47
_cell_angle_gamma 109.47
_space_group_name_H-M_alt 'P 1'
_space_group_IT_number 1
_space_group_name_Hall 'P 1'
loop_
_atom_site_label
_atom_site_type_symbol
_atom_site_fract_x
_atom_site_fract_y
_atom_site_fract_z
_atom_site_occupancy
F1 F 0.000 0.747 0.747 1
F2 F 0.750 0.250 0.500 1
F3 F 0.500 0.750 0.250 1
F4 F 0.000 0.253 0.253 1
F5 F 0.250 0.750 0.500 1
F6 F 0.747 0.747 0.000 1
F7 F 0.750 0.500 0.250 1
F8 F 0.253 0.253 0.000 1
F9 F 0.250 0.500 0.750 1
F10 F 0.500 0.250 0.750 1
F11 F 0.253 0.000 0.253 1
F12 F 0.747 0.000 0.747 1
Rb1 Rb 0.500 0.500 0.500 1
Rb2 Rb 0.500 0.000 0.000 1
Rb3 Rb 0.000 0.000 0.500 1
Rb4 Rb 0.000 0.500 0.000 1
Mn1 Mn 0.000 0.500 0.500 1
Mn2 Mn 0.500 0.000 0.500 1
Mn3 Mn 0.500 0.500 0.000 1
Ga1 Ga 0.000 0.000 0.000 1
```